Here is a relaxed MgCd3Pd crystal from Alexandria. Energies are from GGA-PBE.

Cell lengths 5.178, 5.178, 5.178 Å; angles 90.00, 90.00, 90.00 degrees
Space group Pm-3m (No. 221)
Inequivalent atoms, fractional coordinates:
Mg 0.000 0.000 0.000 (multiplicity 1)
Cd 0.000 0.500 0.500 (multiplicity 3)
Pd 0.500 0.500 0.500 (multiplicity 1)

Energy relative to the lowest polymorph listed for this composition ... 0.243 eV per atom
DOS at the Fermi energy ... 1.6 states/eV per cell
ΔH_f (0 K) ... 0.09 eV per atom